First-principles (GGA-PBE) data for a geometry-optimized SrLi4Cd2Hg structure, as listed in Alexandria.

It has space group R-3m (No. 166, hexagonal axes), with a = 4.7641 Å, b = 4.7641 Å, c = 28.0157 Å, α = 90.00°, β = 90.00° and γ = 120.00°. The asymmetric unit holds Sr at (0.0000, 0.0000, 0.0000), Li at (0.0000, 0.0000, 0.1357), Li at (0.0000, 0.0000, 0.4070), Cd at (0.0000, 0.0000, 0.2442) and Hg at (0.0000, 0.0000, 0.5000).

Its total magnetization is 0.00 μB/f.u. For the formation energy, the calculation gives -0.23 eV/atom. The calculation puts the total energy at -1.66 eV/atom. As for the density of states at the Fermi level: 10.62 states/eV per cell.